First-principles (PBE+U) data for crystalline PuB4Mo3O12 at its relaxed geometry, as listed in the Alexandria database.

Properties
Energy ... -8.3195 eV per atom
Crystal system ... trigonal

Unit cell a=9.9495 b=9.9495 c=8.1628 alpha=90.00 beta=90.00 gamma=120.00
With the nearest neighbours (Å) after each atom.
Space group R32 (No. 155, hexagonal axes)
One atom of each set of equivalent atoms:
Pu 0.0000 0.0000 0.0000 (multiplicity 3)  6 O 2.46
B 0.0000 0.0000 0.5000 (multiplicity 3)  3 O 1.38
B 0.0000 0.4497 0.5000 (multiplicity 9)  3 O 1.38-1.39
Mo 0.0000 0.5484 0.0000 (multiplicity 9)  6 O 2.15-2.17
O 0.0000 0.5897 0.5000 (multiplicity 9)  1 B 1.39
O 0.0000 0.8611 0.5000 (multiplicity 9)  1 B 1.38
O 0.0180 0.2092 0.1748 (multiplicity 18)  1 B 1.38